Record 1
Crystalline BaYAgGe2 at its relaxed geometry. Source: the Alexandria database, functional PBE-GGA.

Properties
ΔE_f	4.49	eV per formula unit

abc: 5.594 5.594 5.577
angles: 90.00 90.00 90.00
Space group P4/mmm (No. 123)
Inequivalent atoms, fractional coordinates:
Ba: 0.000 0.000 0.000 x1
Y: 0.500 0.500 0.500 x1
Ag: 0.000 0.000 0.500 x1
Ge: 0.000 0.500 0.000 x2

Record 2
Crystalline Ba2AgH at its relaxed geometry. Source: the Alexandria database, functional PBE-GGA.

Properties
energy above the most stable polymorph in this dataset	40	kJ/mol of formula units

abc: 7.894 7.894 8.577
angles: 90.00 90.00 90.00
Space group I-42d (No. 122)
Inequivalent atoms, fractional coordinates:
Ba: 0.169 0.250 0.125 x8
Ag: 0.000 0.000 0.500 x4
H: 0.000 0.000 0.000 x4

Record 3
Crystalline Ba6Ag3H at its relaxed geometry. Source: the Alexandria database, functional PBE-GGA.

Properties
energy above the most stable polymorph in this dataset	0	kJ/mol of formula units

abc: 7.938 8.806 14.041
angles: 90.00 123.59 90.00
Space group P2_1/c (No. 14)
Inequivalent atoms, fractional coordinates:
Ba: 0.094 0.035 0.239 x4
Ba: 0.224 0.684 0.068 x4
Ba: 0.385 0.170 0.066 x4
Ag: 0.306 0.117 0.752 x4
Ag: 0.500 0.000 0.500 x2
H: 0.000 0.000 0.000 x2

Record 4
Crystalline Ba2AgH at its relaxed geometry. Source: the Alexandria database, functional PBE-GGA.

Properties
energy above the most stable polymorph in this dataset	0	kJ/mol of formula units

abc: 6.060 14.629 6.007
angles: 90.00 90.00 90.00
Space group Cccm (No. 66)
Inequivalent atoms, fractional coordinates:
Ba: 0.232 0.110 0.000 x8
Ag: 0.250 0.250 0.500 x4
H: 0.000 0.000 0.250 x4

Record 5
Crystalline Ba3AgH at its relaxed geometry. Source: the Alexandria database, functional PBE-GGA.

Properties
energy above the most stable polymorph in this dataset	0	kJ/mol of formula units

abc: 4.634 14.978 11.366
angles: 90.00 90.00 90.00
Space group Cmcm (No. 63)
Inequivalent atoms, fractional coordinates:
Ba: 0.000 0.063 0.250 x4
Ba: 0.000 0.357 0.073 x8
Ag: 0.000 0.255 0.750 x4
H: 0.000 0.473 0.250 x4

Record 6
Crystalline BaAg2H2 at its relaxed geometry. Source: the Alexandria database, functional PBE-GGA.

Properties
calculated total energy	-2.85	eV/atom

abc: 4.355 4.355 9.339
angles: 90.00 90.00 90.00
Space group I4/mmm (No. 139)
Inequivalent atoms, fractional coordinates:
Ba: 0.000 0.000 0.000 x2
Ag: 0.000 0.000 0.349 x4
H: 0.000 0.500 0.250 x4

Record 7
Crystalline Ba6Ag3H at its relaxed geometry. Source: the Alexandria database, functional PBE-GGA.

Properties
energy above the most stable polymorph in this dataset	3	kJ/mol of formula units

abc: 13.150 16.426 7.898
angles: 90.00 90.00 90.00
Space group Cmc2_1 (No. 36)
Inequivalent atoms, fractional coordinates:
Ba: 0.000 0.049 0.000 x4
Ba: 0.000 0.226 0.570 x4
Ba: 0.160 0.271 0.063 x8
Ba: 0.169 0.471 0.563 x8
Ag: 0.000 0.397 0.275 x4
Ag: 0.164 0.105 0.348 x8
H: 0.000 0.205 0.908 x4

Record 8
Crystalline Ba4AgH at its relaxed geometry. Source: the Alexandria database, functional PBE-GGA.

Properties
calculated total energy	-2.50	eV/atom

abc: 9.325 7.944 7.628
angles: 90.00 90.00 90.00
Space group Pmn2_1 (No. 31)
Inequivalent atoms, fractional coordinates:
Ba: 0.000 0.157 0.000 x2
Ba: 0.000 0.828 0.454 x2
Ba: 0.236 0.685 0.988 x4
Ag: 0.000 0.490 0.723 x2
H: 0.000 0.839 0.107 x2

| no. | M_tot (μB per formula unit) |
| --- | --- |
| 1 | 0.0 |
| 2 | 0.0 |
| 3 | 0.0 |
| 4 | 0.0 |
| 5 | 0.0 |
| 6 | 0.0 |
| 7 | 0.0 |
| 8 | 0.2 |